Compound: Pm4Te2S3
Source: the Alexandria database
Functional: PBE-GGA
Structure: relaxed

Properties
SG ... No. 64
ΔE_f (raw) ... -1749 meV/atom
Energy ... -5.934 eV per atom
Total moment ... 0.0 μB per cell

Cell lengths 7.702, 7.631, 8.868 Å; angles 90.00, 115.74, 90.00 degrees
Fractional positions:
Te (0.893, 0.424, 0.787)
Te (0.107, 0.576, 0.213)
Te (0.607, 0.924, 0.213)
Te (0.393, 0.076, 0.787)
S (0.961, 0.250, 0.422)
S (0.039, 0.750, 0.578)
S (0.461, 0.250, 0.422)
S (0.539, 0.750, 0.578)
S (0.500, 0.500, 0.000)
S (0.000, 0.000, 0.000)
Pm (0.699, 0.537, 0.397)
Pm (0.716, 0.750, 0.932)
Pm (0.199, 0.963, 0.397)
Pm (0.284, 0.250, 0.068)
Pm (0.784, 0.250, 0.068)
Pm (0.216, 0.750, 0.932)
Pm (0.801, 0.037, 0.603)
Pm (0.301, 0.463, 0.603)


Compound: BeCr2Ag
Source: the Alexandria database
Functional: PBE-GGA
Structure: relaxed

Properties
SG ... No. 166
Energy of formation from the pure elements ... 0.590 eV/atom
Energy ... -5.866 eV per atom
Total moment ... 0.0 μB per cell

Cell lengths 8.806, 8.806, 8.806 Å; angles 16.97, 16.97, 16.97 degrees
Fractional positions:
Ag (0.250, 0.250, 0.250)
Cr (0.491, 0.491, 0.491)
Cr (0.009, 0.009, 0.009)
Be (0.750, 0.750, 0.750)


Compound: LaScOs2
Source: the Alexandria database
Functional: PBE-GGA
Structure: relaxed

Properties
SG ... No. 225
Energy of formation from the pure elements ... 0.047 eV/atom
Energy ... -8.383 eV per atom
Total moment ... 0.0 μB per cell

Cell lengths 4.789, 4.789, 4.789 Å; angles 60.00, 60.00, 60.00 degrees
Fractional positions:
La (0.500, 0.500, 0.500)
Sc (0.000, 0.000, 0.000)
Os (0.750, 0.750, 0.750)
Os (0.250, 0.250, 0.250)


Compound: AlTeSe2
Source: the Alexandria database
Functional: PBE-GGA
Structure: relaxed

Properties
SG ... No. 123
ΔE_f (raw) ... 38 meV/atom
Energy ... -3.425 eV per atom
Total moment ... 0.0 μB per cell

Cell lengths 3.350, 3.350, 7.922 Å; angles 90.00, 90.00, 90.00 degrees
Fractional positions:
Te (0.500, 0.500, 0.250)
Se (0.000, 0.000, 0.572)
Se (0.000, 0.000, 0.928)
Al (0.500, 0.500, 0.750)


Compound: PrCuGe2Ir
Source: the Alexandria database
Functional: PBE-GGA
Structure: relaxed

Properties
SG ... No. 119
Energy of formation from the pure elements ... -0.576 eV/atom
Energy ... -5.971 eV per atom
Total moment ... 0.0 μB per cell

Cell lengths 4.214, 4.214, 6.011 Å; angles 110.52, 110.52, 90.00 degrees
Fractional positions:
Pr (0.000, 0.000, 0.000)
Ge (0.376, 0.376, 0.752)
Ge (0.624, 0.624, 0.248)
Cu (0.750, 0.250, 0.500)
Ir (0.250, 0.750, 0.500)


Compound: Sr3LiTm3S8
Source: the Alexandria database
Functional: PBE-GGA
Structure: relaxed

Properties
SG ... No. 166
ΔE_f (raw) ... -1965 meV/atom
Energy ... -5.525 eV per atom
Total moment ... 0.0 μB per cell

Cell lengths 7.945, 7.945, 8.173 Å; angles 119.08, 90.00, 120.00 degrees
Fractional positions:
Sr (0.000, 0.000, 0.000)
Sr (0.000, 0.500, 0.000)
Sr (0.500, 0.500, 0.000)
S (0.735, 0.977, 0.718)
S (0.258, 0.516, 0.275)
S (0.242, 0.977, 0.718)
S (0.742, 0.484, 0.725)
S (0.242, 0.483, 0.718)
S (0.758, 0.023, 0.282)
S (0.265, 0.023, 0.282)
S (0.758, 0.517, 0.282)
Tm (0.500, 0.000, 0.500)
Tm (0.000, 0.500, 0.500)
Tm (0.500, 0.500, 0.500)
Li (0.000, 0.000, 0.500)


Compound: TmIn4Br7
Source: the Alexandria database
Functional: PBE-GGA
Structure: relaxed

Properties
SG ... No. 12
ΔE_f (raw) ... -1038 meV/atom
Energy ... -3.300 eV per atom
Total moment ... 0.0 μB per cell

Cell lengths 5.450, 7.887, 11.629 Å; angles 113.11, 103.55, 90.00 degrees
Fractional positions:
In (0.310, 0.874, 0.619)
In (0.418, 0.470, 0.836)
In (0.582, 0.530, 0.164)
In (0.690, 0.126, 0.381)
Br (0.500, 0.000, 0.000)
Br (0.080, 0.813, 0.160)
Br (0.891, 0.670, 0.782)
Br (0.722, 0.779, 0.444)
Br (0.109, 0.330, 0.218)
Br (0.920, 0.187, 0.840)
Br (0.278, 0.221, 0.556)
Tm (0.000, 0.000, 0.000)


Compound: Eu2Sc4N
Source: the Alexandria database
Functional: PBE-GGA
Structure: relaxed

Properties
SG ... No. 139
ΔE_f (raw) ... -180 meV/atom
Energy ... -7.923 eV per atom
Total moment ... 14.8 μB per cell

Cell lengths 4.203, 4.203, 11.684 Å; angles 79.64, 79.64, 90.00 degrees
Fractional positions:
Sc (0.500, 0.000, 0.000)
Sc (0.718, 0.718, 0.564)
Sc (0.000, 0.500, 0.000)
Sc (0.282, 0.282, 0.436)
Eu (0.874, 0.874, 0.253)
Eu (0.126, 0.126, 0.747)
N (0.000, 0.000, 0.000)